[1]
{"formula": "SrNiO3", "functional": "SCAN", "state": "PBEsol geometry", "raw_formation_energy_ev_per_atom": -1.84, "n_ef_per_ev_fu": 3.0, "cell": [[3.781, 0.000, 0.000], [0.000, 3.781, 0.000], [0.000, 0.000, 3.781]], "species": ["Sr", "Ni", "O", "O", "O"], "frac_coords": [[0.000, 0.000, 0.000], [0.500, 0.500, 0.500], [0.000, 0.500, 0.500], [0.500, 0.000, 0.500], [0.500, 0.500, 0.000]]}

***

[2]
{"formula": "SrNiO2", "functional": "SCAN", "state": "PBEsol geometry", "raw_formation_energy_ev_per_atom": -0.98, "n_ef_per_ev_fu": 1.2, "cell": [[1.594, 0.920, 6.315], [-1.594, 0.920, 6.315], [0.000, -1.841, 6.315]], "species": ["Sr", "Ni", "O", "O"], "frac_coords": [[0.000, 0.000, 0.000], [0.500, 0.500, 0.500], [0.121, 0.121, 0.121], [0.879, 0.879, 0.879]]}

***

[3]
{"formula": "SrNiO2", "functional": "SCAN", "state": "PBEsol geometry", "raw_formation_energy_ev_per_atom": -1.98, "n_ef_per_ev_fu": 0.0, "cell": [[1.939, 1.119, 5.597], [-1.939, 1.119, 5.597], [0.000, -2.239, 5.597]], "species": ["Sr", "Ni", "O", "O"], "frac_coords": [[0.000, 0.000, 0.000], [0.500, 0.500, 0.500], [0.399, 0.399, 0.399], [0.601, 0.601, 0.601]]}

***

[4]
{"formula": "SrNiO2", "functional": "SCAN", "state": "PBEsol geometry", "raw_formation_energy_ev_per_atom": -1.24, "n_ef_per_ev_fu": 1.9, "cell": [[0.000, 2.869, 2.869], [2.869, 0.000, 2.869], [2.869, 2.869, 0.000]], "species": ["Sr", "Ni", "O", "O"], "frac_coords": [[0.000, 0.000, 0.000], [0.500, 0.500, 0.500], [0.250, 0.250, 0.250], [0.750, 0.750, 0.750]]}

***

Question: Number 4 is which compound?
Answer: SrNiO2